ReTeW: optimized geometry, PBE-GGA.

a = 3.071 Å, b = 3.116 Å, c = 12.972 Å
α = 90.00°, β = 90.00°, γ = 119.52°
Element x y z (fractional)
Te  0.772  0.545  0.668
Te  0.772  0.545  0.332
W  0.447  0.893  0.500
W  0.429  0.858  0.000
Re  0.123  0.246  0.846
Re  0.123  0.246  0.154

Polymorph energy (0 for the lowest one): 163 meV/atom

YTl2RuO6: optimized geometry, PBE-GGA.

a = 5.747 Å, b = 6.284 Å, c = 6.284 Å
α = 120.00°, β = 90.00°, γ = 90.00°
Each line ends with the local moment (μB).
Element x y z (fractional)
O  0.204  0.858  0.716  0.02
O  0.204  0.858  0.142  0.02
O  0.204  0.284  0.142  0.02
O  0.796  0.142  0.284  0.02
O  0.796  0.142  0.858  0.02
O  0.796  0.716  0.858  0.02
Tl  0.987  0.667  0.333  -0.04
Tl  0.013  0.333  0.667  -0.04
Y  0.500  0.000  0.000  0.01
Ru  0.000  0.000  0.000  0.81

Electronic total energy: -62.97 eV/cell

MgSiB3: optimized geometry, PBE-GGA.

a = 4.285 Å, b = 4.285 Å, c = 4.285 Å
α = 90.00°, β = 90.00°, γ = 90.00°
Element x y z (fractional)
Si  0.500  0.500  0.500
B  0.000  0.000  0.500
B  0.500  0.000  0.000
B  0.000  0.500  0.000
Mg  0.000  0.000  0.000

Polymorph energy (0 for the lowest one): 1117 meV/atom

PrSmMgOs: optimized geometry, PBE-GGA.

a = 5.149 Å, b = 5.149 Å, c = 5.149 Å
α = 60.00°, β = 60.00°, γ = 60.00°
Element x y z (fractional)
Os  0.500  0.500  0.500
Pr  0.750  0.750  0.750
Mg  0.000  0.000  0.000
Sm  0.250  0.250  0.250

ΔH_f (0 K): 0.0072 eV per atom

YFeRe2: optimized geometry, PBE-GGA.

a = 4.786 Å, b = 4.786 Å, c = 5.269 Å
α = 74.00°, β = 74.00°, γ = 39.07°
Each line ends with the local moment (μB).
Element x y z (fractional)
Fe  0.276  0.276  0.174  1.97
Re  0.722  0.722  0.842  -0.09
Re  0.998  0.998  0.995  0.08
Y  0.503  0.503  0.489  -0.07

Polymorph energy (0 for the lowest one): 200 meV/atom
ΔH_f (0 K): 0.3777 eV per atom

ZnAgGeO4: optimized geometry, PBE-GGA.

a = 4.919 Å, b = 4.919 Å, c = 5.568 Å
α = 116.21°, β = 116.21°, γ = 90.00°
Each line ends with the local moment (μB).
Element x y z (fractional)
Ge  0.500  0.500  0.000  0.00
Ag  0.000  0.000  0.000  0.31
Zn  0.250  0.750  0.500  0.02
O  0.852  0.429  0.225  0.11
O  0.373  0.796  0.225  0.11
O  0.571  0.627  0.775  0.11
O  0.204  0.148  0.775  0.11

Electronic total energy: -35.75 eV/cell

Ac3Ge2N: optimized geometry, PBE-GGA.

a = 4.276 Å, b = 5.250 Å, c = 8.918 Å
α = 107.12°, β = 103.87°, γ = 90.00°
Element x y z (fractional)
Ge  0.350  0.350  0.700
Ge  0.650  0.650  0.300
N  0.000  0.000  0.000
Ac  0.149  0.149  0.299
Ac  0.000  0.500  0.000
Ac  0.851  0.851  0.701

Polymorph energy (0 for the lowest one): 77 meV/atom

La2HgRu: optimized geometry, PBE-GGA.

a = 4.131 Å, b = 4.131 Å, c = 8.407 Å
α = 75.81°, β = 75.81°, γ = 59.92°
Element x y z (fractional)
Hg  0.750  0.750  0.750
Ru  0.250  0.250  0.250
La  0.519  0.519  0.442
La  0.981  0.981  0.058

ΔH_f (0 K): -0.3401 eV per atom

LiSmGePt2: optimized geometry, PBE-GGA.

a = 4.182 Å, b = 3.854 Å, c = 6.469 Å
α = 107.33°, β = 108.86°, γ = 90.00°
Element x y z (fractional)
Li  0.195  0.695  0.389
Pt  0.041  0.041  0.082
Pt  0.696  0.196  0.393
Ge  0.829  0.829  0.657
Sm  0.452  0.452  0.904

ΔH_f (0 K): -0.8439 eV per atom

AlCoNiPd: optimized geometry, PBE-GGA.

a = 4.156 Å, b = 4.156 Å, c = 4.156 Å
α = 60.00°, β = 60.00°, γ = 60.00°
Each line ends with the local moment (μB).
Element x y z (fractional)
Al  0.750  0.750  0.750  -0.03
Pd  0.500  0.500  0.500  0.03
Ni  0.250  0.250  0.250  0.41
Co  0.000  0.000  0.000  1.19

ΔH_f (0 K): -0.3109 eV per atom

In16Hg12Ge: optimized geometry, PBE-GGA.

a = 9.786 Å, b = 9.786 Å, c = 10.977 Å
α = 67.25°, β = 67.25°, γ = 105.76°
Element x y z (fractional)
Hg  0.626  0.626  0.192
Hg  0.349  0.143  0.016
Hg  0.005  0.215  0.606
Hg  0.827  0.827  0.816
Hg  0.333  0.953  0.847
Hg  0.953  0.333  0.847
Hg  0.239  0.739  0.203
Hg  0.739  0.239  0.203
Hg  0.662  0.869  0.335
Hg  0.869  0.662  0.335
Hg  0.143  0.349  0.016
Hg  0.215  0.005  0.606
In  0.005  0.681  0.605
In  0.644  0.982  0.992
In  0.427  0.645  0.965
In  0.986  0.385  0.303
In  0.009  0.009  0.993
In  0.326  0.713  0.680
In  0.645  0.427  0.965
In  0.001  0.001  0.342
In  0.311  0.311  0.288
In  0.296  0.558  0.459
In  0.558  0.296  0.459
In  0.713  0.326  0.680
In  0.398  0.398  0.695
In  0.681  0.005  0.605
In  0.982  0.644  0.992
In  0.385  0.986  0.303
Ge  0.673  0.673  0.652

ΔH_f (0 K): 0.0374 eV per atom

Cd2NiBiPb: optimized geometry, PBE-GGA.

a = 5.081 Å, b = 5.081 Å, c = 5.081 Å
α = 90.00°, β = 90.00°, γ = 90.00°
Element x y z (fractional)
Ni  0.000  0.000  0.000
Cd  0.500  0.000  0.000
Cd  0.000  0.500  0.000
Pb  0.500  0.500  0.500
Bi  0.000  0.000  0.500

ΔH_f (0 K): 0.1494 eV per atom

CuSb4Ir: optimized geometry, PBE-GGA.

a = 5.983 Å, b = 5.983 Å, c = 5.983 Å
α = 60.00°, β = 60.00°, γ = 60.00°
Element x y z (fractional)
Sb  0.376  0.873  0.376
Sb  0.873  0.376  0.376
Sb  0.376  0.376  0.873
Sb  0.376  0.376  0.376
Ir  0.000  0.000  0.000
Cu  0.750  0.750  0.750

Electronic total energy: -22.86 eV/cell

LaZn2Se: optimized geometry, PBE-GGA.

a = 3.861 Å, b = 3.861 Å, c = 6.388 Å
α = 90.00°, β = 90.00°, γ = 90.00°
Element x y z (fractional)
Zn  0.500  0.500  0.169
Zn  0.000  0.000  0.062
La  0.000  0.000  0.533
Se  0.500  0.500  0.736

Electronic total energy: -13.48 eV/cell

K3DyY2O6: optimized geometry, PBE-GGA.

a = 6.042 Å, b = 6.042 Å, c = 6.579 Å
α = 98.81°, β = 98.81°, γ = 120.00°
Element x y z (fractional)
K  0.833  0.167  0.500
K  0.167  0.833  0.500
K  0.500  0.500  0.500
O  0.271  0.271  0.814
O  0.062  0.395  0.186
O  0.938  0.605  0.814
O  0.605  0.938  0.814
O  0.395  0.062  0.186
O  0.729  0.729  0.186
Y  0.667  0.333  0.000
Y  0.333  0.667  0.000
Dy  0.000  0.000  0.000

Electronic total energy: -83.61 eV/cell

Zr2CrPW: optimized geometry, PBE-GGA.

a = 4.832 Å, b = 4.153 Å, c = 4.832 Å
α = 90.00°, β = 90.00°, γ = 90.00°
Element x y z (fractional)
Zr  0.500  0.000  0.000
Zr  0.000  0.000  0.500
Cr  0.000  0.000  0.000
P  0.000  0.500  0.000
W  0.500  0.500  0.500

Polymorph energy (0 for the lowest one): 0 meV/atom
ΔH_f (0 K): 0.7624 eV per atom

Ta2NiP: optimized geometry, PBE-GGA.

a = 3.534 Å, b = 3.464 Å, c = 5.055 Å
α = 69.98°, β = 90.00°, γ = 90.00°
Element x y z (fractional)
Ta  0.000  0.969  0.938
Ta  0.500  0.281  0.313
P  0.500  0.557  0.762
Ni  0.000  0.693  0.487

ΔH_f (0 K): -0.6585 eV per atom

AcAgSnPt: optimized geometry, PBE-GGA.

a = 5.164 Å, b = 5.164 Å, c = 5.164 Å
α = 60.00°, β = 60.00°, γ = 60.00°
Element x y z (fractional)
Ag  0.000  0.000  0.000
Sn  0.250  0.250  0.250
Pt  0.500  0.500  0.500
Ac  0.750  0.750  0.750

ΔH_f (0 K): -0.5314 eV per atom

Ba2PbAuBr: optimized geometry, PBE-GGA.

a = 6.539 Å, b = 5.250 Å, c = 6.539 Å
α = 90.00°, β = 90.00°, γ = 90.00°
Element x y z (fractional)
Ba  0.500  0.000  0.000
Ba  0.000  0.000  0.500
Pb  0.000  0.500  0.000
Br  0.500  0.500  0.500
Au  0.000  0.000  0.000

Electronic total energy: -16.01 eV/cell

Eu3Pd: optimized geometry, PBE-GGA.

a = 10.511 Å, b = 10.511 Å, c = 10.511 Å
α = 22.55°, β = 22.55°, γ = 22.55°
Each line ends with the local moment (μB).
Element x y z (fractional)
Eu  0.723  0.723  0.723  6.86
Eu  0.277  0.277  0.277  6.86
Eu  0.500  0.500  0.500  -6.98
Pd  0.000  0.000  0.000  -0.08

Polymorph energy (0 for the lowest one): 35 meV/atom
ΔH_f (0 K): -0.2891 eV per atom